Entry 1:
Compound: SrYMg2
Source: the Alexandria database
Functional: PBE-GGA
Structure: relaxed

The structure in CIF format:
```
data_SrYMg2
_chemical_formula_sum 'Sr1 Y1 Mg2'
_cell_length_a 3.984
_cell_length_b 3.984
_cell_length_c 8.006
_cell_angle_alpha 90.00
_cell_angle_beta 90.00
_cell_angle_gamma 90.00
_space_group_name_H-M_alt 'P 4/m m m'
_space_group_IT_number 123
_space_group_name_Hall '-P 4 2'
loop_
_atom_site_label
_atom_site_fract_x
_atom_site_fract_y
_atom_site_fract_z
Sr1 0.000 0.000 0.000
Y1 0.000 0.000 0.500
Mg1 0.500 0.500 0.284
```

The formation enthalpy at 0 K is -0.059 eV/atom. The energy relative to the lowest polymorph listed for this composition comes out at 0 meV/atom.

Entry 2:
Compound: Ac12SnPb6
Source: the Alexandria database
Functional: PBE-GGA
Structure: relaxed

The structure in CIF format:
```
data_Ac12SnPb6
_chemical_formula_sum 'Ac36 Sn3 Pb18'
_cell_length_a 14.8799
_cell_length_b 14.8799
_cell_length_c 13.5321
_cell_angle_alpha 90.00
_cell_angle_beta 90.00
_cell_angle_gamma 120.00
_space_group_name_H-M_alt 'R -3'
_space_group_IT_number 148
_space_group_name_Hall '-R 3'
loop_
_atom_site_label
_atom_site_fract_x
_atom_site_fract_y
_atom_site_fract_z
Ac1 0.0313 0.8321 0.3877
Ac2 0.0528 0.8406 0.8825
Sn1 0.0000 0.0000 0.0000
Pb1 0.0443 0.7722 0.6458
```

The formation enthalpy at 0 K is -0.277 eV/atom.

Entry 3:
Compound: Dy2ThMg
Source: the Alexandria database
Functional: PBE-GGA
Structure: relaxed

The structure in CIF format:
```
data_Dy2ThMg
_chemical_formula_sum 'Dy2 Th1 Mg1'
_cell_length_a 4.903
_cell_length_b 4.903
_cell_length_c 4.960
_cell_angle_alpha 90.00
_cell_angle_beta 90.00
_cell_angle_gamma 90.00
_space_group_name_H-M_alt 'P 4/m m m'
_space_group_IT_number 123
_space_group_name_Hall '-P 4 2'
loop_
_atom_site_label
_atom_site_fract_x
_atom_site_fract_y
_atom_site_fract_z
Dy1 0.000 0.500 0.000
Th1 0.000 0.000 0.500
Mg1 0.500 0.500 0.500
```

The formation enthalpy at 0 K is 0.059 eV/atom. The energy relative to the lowest polymorph listed for this composition comes out at 104 meV/atom.

Entry 4:
Compound: NaNdY
Source: the Alexandria database
Functional: PBE-GGA
Structure: relaxed

The structure in CIF format:
```
data_NaNdY
_chemical_formula_sum 'Na2 Nd2 Y2'
_cell_length_a 4.109
_cell_length_b 4.109
_cell_length_c 12.434
_cell_angle_alpha 90.00
_cell_angle_beta 90.00
_cell_angle_gamma 90.00
_space_group_name_H-M_alt 'P 4/n m m'
_space_group_IT_number 129
loop_
_space_group_symop_operation_xyz
'x,y,z'
'-x,-y,-z'
'-y+1/2,x,z'
'y+1/2,-x,-z'
'-x+1/2,-y+1/2,z'
'x+1/2,y+1/2,-z'
'y,-x+1/2,z'
'-y,x+1/2,-z'
'x+1/2,-y,-z'
'-x+1/2,y,z'
'-y,-x,-z'
'y,x,z'
'-x,y+1/2,-z'
'x,-y+1/2,z'
'y+1/2,x+1/2,-z'
'-y+1/2,-x+1/2,z'
loop_
_atom_site_label
_atom_site_fract_x
_atom_site_fract_y
_atom_site_fract_z
Na1 0.250 0.250 0.078
Nd1 0.250 0.250 0.736
Y1 0.250 0.250 0.427
```

The formation enthalpy at 0 K is 0.126 eV/atom. The energy relative to the lowest polymorph listed for this composition comes out at 3 meV/atom.

Entry 5:
Compound: GaP2Ru4
Source: the Alexandria database
Functional: PBE-GGA
Structure: relaxed

The structure in CIF format:
```
data_GaP2Ru4
_chemical_formula_sum 'Ga2 P4 Ru8'
_cell_length_a 4.437
_cell_length_b 4.437
_cell_length_c 12.019
_cell_angle_alpha 90.00
_cell_angle_beta 90.00
_cell_angle_gamma 90.00
_space_group_name_H-M_alt 'I 4/m m m'
_space_group_IT_number 139
_space_group_name_Hall '-I 4 2'
loop_
_atom_site_label
_atom_site_fract_x
_atom_site_fract_y
_atom_site_fract_z
Ga1 0.000 0.000 0.000
P1 0.000 0.000 0.389
Ru1 0.000 0.000 0.211
Ru2 0.000 0.500 0.000
```

The formation enthalpy at 0 K is 0.761 eV/atom.

Entry 6:
Compound: CeYPd
Source: the Alexandria database
Functional: PBE-GGA
Structure: relaxed

The structure in CIF format:
```
data_CeYPd
_chemical_formula_sum 'Ce2 Y2 Pd2'
_cell_length_a 3.553
_cell_length_b 3.553
_cell_length_c 12.337
_cell_angle_alpha 90.00
_cell_angle_beta 90.00
_cell_angle_gamma 90.00
_space_group_name_H-M_alt 'I 4 m m'
_space_group_IT_number 107
_space_group_name_Hall 'I 4 -2'
loop_
_atom_site_label
_atom_site_fract_x
_atom_site_fract_y
_atom_site_fract_z
Ce1 0.000 0.000 0.000
Y1 0.000 0.000 0.281
Pd1 0.000 0.000 0.645
```

The formation enthalpy at 0 K is -0.428 eV/atom. The energy relative to the lowest polymorph listed for this composition comes out at 45 meV/atom.

no.,Fermi-level density of states (states/eV/f.u.),electronic total energy (eV/atom)
1,4.6,-2.8925
2,18.7,-4.2540
3,7.2,-4.4953
4,3.9,-4.0579
5,7.0,-6.5172
6,5.9,-6.2914